Entry 1:
This record from Alexandria describes crystalline Ni2Ge2Te at its relaxed geometry. The functional is PBE-GGA.

Summary:
Calculated volume = 16.585 Å³/atom
ΔE_f (raw) = 0.0100 eV/atom
Mass density = 7815 kg/m3
Energy above the lowest structure with this stoichiometry = 0.000 eV per atom
N(E_F) = 0.616 states/eV/atom
Total moment = 0.0 μB per cell

Unit cell a=3.812 b=3.812 c=11.412 alpha=90.00 beta=90.00 gamma=90.00
Space group I4/mmm (No. 139)
Inequivalent atoms, fractional coordinates:
Ni 0.000 0.000 0.112 (multiplicity 4)
Ge 0.000 0.500 0.250 (multiplicity 4)
Te 0.000 0.000 0.500 (multiplicity 2)


Entry 2:
This record from Alexandria describes crystalline Sr3Sn4Hg4 at its relaxed geometry. The functional is PBE-GGA.

Summary:
Calculated volume = 30.179 Å³/atom
Mass density = 7704 kg/m3
DFT formation energy = -0.3586 eV per atom
Energy above the lowest structure with this stoichiometry = 0.046 eV per atom
N(E_F) = 0.443 states/eV/atom
Total moment = 0.0 μB per cell

Unit cell a=4.715 b=8.058 c=17.475 alpha=90.00 beta=90.00 gamma=90.00
Space group Immm (No. 71)
Inequivalent atoms, fractional coordinates:
Sr 0.000 0.000 0.000 (multiplicity 2)
Sr 0.000 0.500 0.134 (multiplicity 4)
Sn 0.000 0.311 0.345 (multiplicity 8)
Hg 0.000 0.000 0.222 (multiplicity 4)
Hg 0.000 0.180 0.500 (multiplicity 4)


Entry 3:
This record from Alexandria describes crystalline ZnCd at its relaxed geometry. The functional is PBE-GGA.

Summary:
Calculated volume = 21.909 Å³/atom
Mass density = 6739 kg/m3
DFT formation energy = 0.1852 eV per atom
N(E_F) = 0.401 states/eV/atom
Total moment = 0.0 μB per cell

Unit cell a=4.0090 b=4.0090 c=6.2961 alpha=90.00 beta=90.00 gamma=120.00
Space group P6_3/mmc (No. 194)
Inequivalent atoms, fractional coordinates:
Zn 0.3333 0.6667 0.2500 (multiplicity 2)
Cd 0.0000 0.0000 0.0000 (multiplicity 2)


Entry 4:
This record from Alexandria describes crystalline LaPr5NdDy2 at its relaxed geometry. The functional is PBE-GGA.

Summary:
Calculated volume = 35.757 Å³/atom
Mass density = 6773 kg/m3
DFT formation energy = 0.1411 eV per atom
N(E_F) = 1.524 states/eV/atom
Total moment = 0.0 μB per cell

Unit cell a=5.793 b=20.623 c=10.774 alpha=90.00 beta=90.00 gamma=90.00
Space group Cmc2_1 (No. 36)
Inequivalent atoms, fractional coordinates:
La 0.000 0.084 0.000 (multiplicity 4)
Pr 0.000 0.023 0.293 (multiplicity 4)
Pr 0.000 0.110 0.580 (multiplicity 4)
Pr 0.000 0.205 0.257 (multiplicity 4)
Pr 0.000 0.219 0.865 (multiplicity 4)
Pr 0.000 0.484 0.578 (multiplicity 4)
Nd 0.000 0.300 0.564 (multiplicity 4)
Dy 0.000 0.383 0.877 (multiplicity 4)
Dy 0.000 0.387 0.286 (multiplicity 4)


Entry 5:
This record from Alexandria describes crystalline CrRu2Rh6 at its relaxed geometry. The functional is PBE-GGA.

Summary:
Calculated volume = 13.863 Å³/atom
Mass density = 11600 kg/m3
DFT formation energy = -0.0118 eV per atom
N(E_F) = 1.153 states/eV/atom
Total moment = 0.0 μB per cell

Unit cell a=14.073 b=2.707 c=6.743 alpha=90.00 beta=103.76 gamma=90.00
Space group C2/m (No. 12)
Inequivalent atoms, fractional coordinates:
Cr 0.000 0.000 0.000 (multiplicity 2)
Ru 0.091 0.500 0.325 (multiplicity 4)
Rh 0.072 0.000 0.666 (multiplicity 4)
Rh 0.160 0.500 0.998 (multiplicity 4)
Rh 0.244 0.500 0.669 (multiplicity 4)


Entry 6:
This record from Alexandria describes crystalline CsYMg6O8 at its relaxed geometry. The functional is PBE-GGA.

Summary:
Calculated volume = 12.945 Å³/atom
ΔE_f (raw) = -2.1083 eV/atom
Mass density = 3974 kg/m3
N(E_F) = 0.164 states/eV/atom
Total moment = 0.2 μB per cell

Unit cell a=4.767 b=4.767 c=9.115 alpha=90.00 beta=90.00 gamma=90.00
Space group P4/mmm (No. 123)
Inequivalent atoms, fractional coordinates:
Cs 0.000 0.000 0.000 (multiplicity 1)
Y 0.500 0.500 0.000 (multiplicity 1)
Mg 0.000 0.000 0.500 (multiplicity 1)
Mg 0.000 0.500 0.277 (multiplicity 4)
Mg 0.500 0.500 0.500 (multiplicity 1)
O 0.000 0.000 0.291 (multiplicity 2)
O 0.000 0.500 0.000 (multiplicity 2)
O 0.000 0.500 0.500 (multiplicity 2)
O 0.500 0.500 0.261 (multiplicity 2)